A plane-wave DFT calculation with GGA-PBE was carried out for an optimized crystal structure of PrMgSc.

The excess energy over the best structure of this formula in the dataset is 0.000 eV per atom. The calculation puts the calculated total energy at -3.779 eV per atom. Its size of the total moment is 0.62 μB per formula unit.

abc: 7.2480 7.2480 7.2480
angles: 90.00 90.00 90.00
Space group F-43m (No. 216)
Inequivalent atoms, fractional coordinates:
Pr  0.0000  0.0000  0.0000
Mg  0.2500  0.2500  0.2500
Sc  0.0000  0.0000  0.5000

---

A plane-wave DFT calculation with GGA-PBE was carried out for an optimized crystal structure of PrMgSc.

The excess energy over the best structure of this formula in the dataset is 0.296 eV per atom. The calculation puts the calculated total energy at -3.483 eV per atom. Its size of the total moment is 0.01 μB per formula unit.

abc: 7.2862 7.2862 7.2862
angles: 90.00 90.00 90.00
Space group F-43m (No. 216)
Inequivalent atoms, fractional coordinates:
Pr  0.0000  0.0000  0.0000
Mg  0.2500  0.2500  0.7500
Sc  0.2500  0.2500  0.2500

---

A plane-wave DFT calculation with GGA-PBE was carried out for an optimized crystal structure of PrMgTlSe3.

The calculation puts the calculated total energy at -4.463 eV per atom. Its size of the total moment is 0.00 μB per formula unit.

abc: 4.3356 14.6644 11.6188
angles: 90.00 90.00 90.00
Space group Cmcm (No. 63)
Inequivalent atoms, fractional coordinates:
Pr  0.0000  0.0000  0.0000
Mg  0.0000  0.4664  0.2500
Tl  0.0000  0.2451  0.7500
Se  0.0000  0.0674  0.2500
Se  0.0000  0.3705  0.0674

---

A plane-wave DFT calculation with GGA-PBE was carried out for an optimized crystal structure of PrMgTlSe3.

The calculation puts the calculated total energy at -4.464 eV per atom. Its size of the total moment is 0.00 μB per formula unit.

abc: 11.6124 4.3466 14.5768
angles: 90.00 90.00 90.00
Space group Pnma (No. 62)
Inequivalent atoms, fractional coordinates:
Pr  0.0086  0.2500  0.2453
Mg  0.2412  0.2500  0.7167
Tl  0.2331  0.7500  0.5039
Se  0.0556  0.2500  0.6224
Se  0.0788  0.7500  0.1169
Se  0.2428  0.7500  0.8186

---

A plane-wave DFT calculation with GGA-PBE was carried out for an optimized crystal structure of Pr2MgSi2.

The calculation puts the calculated total energy at -5.051 eV per atom. Its size of the total moment is 0.00 μB per formula unit.

abc: 7.4334 7.4334 4.3959
angles: 90.00 90.00 90.00
Space group P4/mbm (No. 127)
Inequivalent atoms, fractional coordinates:
Pr  0.1803  0.3197  0.0000
Mg  0.0000  0.0000  0.5000
Si  0.1145  0.6145  0.5000

---

A plane-wave DFT calculation with GGA-PBE was carried out for an optimized crystal structure of TbPr2Mg4Si4.

The calculation puts the calculated total energy at -4.251 eV per atom. Its size of the total moment is 0.01 μB per formula unit.

abc: 4.1917 4.3932 26.6506
angles: 90.00 90.00 90.00
Space group Immm (No. 71)
Inequivalent atoms, fractional coordinates:
Tb  0.0000  0.0000  0.0000
Pr  0.0000  0.5000  0.1407
Mg  0.0000  0.0000  0.2510
Mg  0.0000  0.5000  0.4084
Si  0.0000  0.0000  0.4564
Si  0.0000  0.5000  0.3127

---

A plane-wave DFT calculation with GGA-PBE was carried out for an optimized crystal structure of Pr2YMg4Si4.

The calculation puts the calculated total energy at -4.418 eV per atom. Its size of the total moment is 0.01 μB per formula unit.

abc: 4.1895 4.3917 26.6409
angles: 90.00 90.00 90.00
Space group Immm (No. 71)
Inequivalent atoms, fractional coordinates:
Pr  0.0000  0.0000  0.1406
Y  0.0000  0.5000  0.0000
Mg  0.0000  0.0000  0.4084
Mg  0.0000  0.5000  0.2510
Si  0.0000  0.0000  0.3127
Si  0.0000  0.5000  0.4564

---

A plane-wave DFT calculation with GGA-PBE was carried out for an optimized crystal structure of PrSmMg6.

The calculation puts the calculated total energy at -2.462 eV per atom. Its size of the total moment is 0.00 μB per formula unit.

abc: 5.2340 5.2340 7.4029
angles: 90.00 90.00 90.00
Space group P4/mmm (No. 123)
Inequivalent atoms, fractional coordinates:
Pr  0.0000  0.0000  0.0000
Sm  0.5000  0.5000  0.5000
Mg  0.0000  0.0000  0.5000
Mg  0.0000  0.5000  0.2508
Mg  0.5000  0.5000  0.0000

---

A plane-wave DFT calculation with GGA-PBE was carried out for an optimized crystal structure of PrSmMg6.

The calculation puts the calculated total energy at -2.462 eV per atom. Its size of the total moment is 0.00 μB per formula unit.

abc: 5.2365 7.4072 5.2369
angles: 90.00 90.00 90.00
Space group Pmm2 (No. 25)
Inequivalent atoms, fractional coordinates:
Pr  0.0000  0.0000  0.0000
Sm  0.5000  0.5000  0.4922
Mg  0.0000  0.2526  0.5006
Mg  0.0000  0.5000  0.9994
Mg  0.5000  0.0000  0.4934
Mg  0.5000  0.2526  0.9918

---

A plane-wave DFT calculation with GGA-PBE was carried out for an optimized crystal structure of Pr2Sm2Mg.

The calculation puts the calculated total energy at -3.951 eV per atom. Its size of the total moment is 0.00 μB per formula unit.

abc: 8.9897 8.9897 4.1026
angles: 90.00 90.00 90.00
Space group P4/mbm (No. 127)
Inequivalent atoms, fractional coordinates:
Pr  0.1589  0.3411  0.0000
Sm  0.1452  0.6452  0.5000
Mg  0.0000  0.0000  0.5000

---

A plane-wave DFT calculation with GGA-PBE was carried out for an optimized crystal structure of PrSmMg2Sn2.

The calculation puts the calculated total energy at -4.040 eV per atom. Its size of the total moment is 0.01 μB per formula unit.

abc: 4.4961 4.4961 16.1745
angles: 90.00 90.00 90.00
Space group I4mm (No. 107)
Inequivalent atoms, fractional coordinates:
Pr  0.0000  0.0000  0.0000
Sm  0.0000  0.0000  0.3310
Mg  0.0000  0.5000  0.1657
Sn  0.0000  0.0000  0.5326
Sn  0.0000  0.0000  0.7987

---

A plane-wave DFT calculation with GGA-PBE was carried out for an optimized crystal structure of PrMgSn2.

The calculation puts the calculated total energy at -4.133 eV per atom. Its size of the total moment is 0.00 μB per formula unit.

abc: 8.3188 8.3188 12.3224
angles: 90.00 90.00 90.00
Space group I-42m (No. 121)
Inequivalent atoms, fractional coordinates:
Pr  0.0000  0.0000  0.1589
Pr  0.0000  0.5000  0.2500
Mg  0.1640  0.1640  0.3960
Sn  0.0000  0.3212  0.0000
Sn  0.1939  0.1939  0.6563

---

A plane-wave DFT calculation with GGA-PBE was carried out for an optimized crystal structure of PrTmMg2Sn2.

The calculation puts the calculated total energy at -3.951 eV per atom. Its size of the total moment is 0.00 μB per formula unit.

abc: 4.4510 4.4510 16.0432
angles: 90.00 90.00 90.00
Space group I4mm (No. 107)
Inequivalent atoms, fractional coordinates:
Pr  0.0000  0.0000  0.0000
Tm  0.0000  0.0000  0.3327
Mg  0.0000  0.5000  0.1687
Sn  0.0000  0.0000  0.5325
Sn  0.0000  0.0000  0.8015

---

A plane-wave DFT calculation with GGA-PBE was carried out for an optimized crystal structure of SrPr3Mg5.

The calculation puts the calculated total energy at -2.560 eV per atom. Its size of the total moment is 0.29 μB per formula unit.

abc: 7.7398 7.7398 5.3620
angles: 90.00 90.00 120.00
Space group P-62m (No. 189)
Inequivalent atoms, fractional coordinates:
Sr  0.0000  0.0000  0.0000
Pr  0.0000  0.5537  0.0000
Mg  0.0000  0.2463  0.5000
Mg  0.3333  0.6667  0.5000

---

A plane-wave DFT calculation with GGA-PBE was carried out for an optimized crystal structure of PrMgTa.

The excess energy over the best structure of this formula in the dataset is 0.000 eV per atom. The calculation puts the calculated total energy at -4.974 eV per atom. Its size of the total moment is 0.07 μB per formula unit.

abc: 6.8966 6.8966 6.8966
angles: 90.00 90.00 90.00
Space group F-43m (No. 216)
Inequivalent atoms, fractional coordinates:
Pr  0.0000  0.0000  0.0000
Mg  0.2500  0.2500  0.2500
Ta  0.0000  0.0000  0.5000

---

A plane-wave DFT calculation with GGA-PBE was carried out for an optimized crystal structure of PrMgTa.

The excess energy over the best structure of this formula in the dataset is 0.357 eV per atom. The calculation puts the calculated total energy at -4.617 eV per atom. Its size of the total moment is 2.19 μB per formula unit.

abc: 7.0899 7.0899 7.0899
angles: 90.00 90.00 90.00
Space group F-43m (No. 216)
Inequivalent atoms, fractional coordinates:
Pr  0.0000  0.0000  0.0000
Mg  0.2500  0.2500  0.7500
Ta  0.2500  0.2500  0.2500

---

A plane-wave DFT calculation with GGA-PBE was carried out for an optimized crystal structure of PrMgTe.

The excess energy over the best structure of this formula in the dataset is 0.000 eV per atom. The calculation puts the calculated total energy at -3.510 eV per atom. Its size of the total moment is 0.68 μB per formula unit.

abc: 7.3992 7.3992 7.3992
angles: 90.00 90.00 90.00
Space group F-43m (No. 216)
Inequivalent atoms, fractional coordinates:
Pr  0.0000  0.0000  0.0000
Mg  0.0000  0.0000  0.5000
Te  0.2500  0.2500  0.7500

---

A plane-wave DFT calculation with GGA-PBE was carried out for an optimized crystal structure of PrMgTe.

The excess energy over the best structure of this formula in the dataset is 0.056 eV per atom. The calculation puts the calculated total energy at -3.454 eV per atom. Its size of the total moment is 0.25 μB per formula unit.

abc: 7.4909 7.4909 7.4909
angles: 90.00 90.00 90.00
Space group F-43m (No. 216)
Inequivalent atoms, fractional coordinates:
Pr  0.0000  0.0000  0.0000
Mg  0.2500  0.2500  0.7500
Te  0.2500  0.2500  0.2500

---

A plane-wave DFT calculation with GGA-PBE was carried out for an optimized crystal structure of PrMgTl2.

The calculation puts the calculated total energy at -3.074 eV per atom. Its size of the total moment is 0.01 μB per formula unit.

abc: 4.8385 4.8385 4.5926
angles: 90.00 90.00 90.00
Space group P4/mmm (No. 123)
Inequivalent atoms, fractional coordinates:
Pr  0.0000  0.0000  0.0000
Mg  0.5000  0.5000  0.0000
Tl  0.0000  0.5000  0.5000

---

A plane-wave DFT calculation with GGA-PBE was carried out for an optimized crystal structure of PrMgTl.

The calculation puts the calculated total energy at -2.718 eV per atom. Its size of the total moment is 0.01 μB per formula unit.

abc: 7.3475 7.3475 7.3475
angles: 90.00 90.00 90.00
Space group F-43m (No. 216)
Inequivalent atoms, fractional coordinates:
Pr  0.0000  0.0000  0.0000
Mg  0.2500  0.2500  0.7500
Tl  0.2500  0.2500  0.2500